Record 1
{"formula": "TbAl2Ni", "functional": "meta-GGA SCAN", "state": "PBEsol geometry", "cell": [[2.008, -5.088, 0.000], [2.008, 5.088, 0.000], [0.000, 0.000, 6.813]], "species": ["Tb", "Tb", "Al", "Al", "Al", "Al", "Ni", "Ni"], "fractional_positions": [[0.060, 0.940, 0.750], [0.940, 0.060, 0.250], [0.342, 0.658, 0.554], [0.342, 0.658, 0.946], [0.658, 0.342, 0.054], [0.658, 0.342, 0.446], [0.216, 0.784, 0.250], [0.784, 0.216, 0.750]], "e_tot_ev_per_atom": -20.3089, "magnetic_moment_mub_per_fu": 0.00, "formation_energy_ev_per_atom": -0.699}



Record 2
{"formula": "ZrAlBr2", "functional": "meta-GGA SCAN", "state": "PBEsol geometry", "cell": [[3.383, 0.000, 0.000], [0.000, 4.682, 0.000], [-0.065, 0.000, 5.530]], "species": ["Zr", "Al", "Br", "Br"], "fractional_positions": [[0.000, 0.000, 0.000], [0.500, 0.000, 0.500], [0.198, 0.500, 0.245], [0.802, 0.500, 0.755]], "e_tot_ev_per_atom": -19.6675, "relative_energy_ev_per_fu": 1.11, "magnetic_moment_mub_per_fu": 0.46, "formation_energy_uncorrected_mev_per_atom": -325}



Record 3
{"formula": "SiAg2Pt", "functional": "meta-GGA SCAN", "state": "PBEsol geometry", "cell": [[2.795, 0.000, 0.000], [0.000, 2.795, 0.000], [0.000, 0.000, 8.033]], "species": ["Si", "Ag", "Ag", "Pt"], "fractional_positions": [[0.000, 0.000, 0.000], [0.500, 0.500, 0.247], [0.500, 0.500, 0.753], [0.000, 0.000, 0.500]], "e_tot_ev_per_atom": -35.5035, "magnetic_moment_mub_per_fu": 0.00, "formation_energy_uncorrected_mev_per_atom": 232}



Record 4
{"formula": "Zn5Ni", "functional": "meta-GGA SCAN", "state": "PBEsol geometry", "cell": [[4.821, -1.349, 0.000], [4.821, 1.349, 0.000], [-1.568, 0.000, 5.995]], "species": ["Zn", "Zn", "Zn", "Zn", "Zn", "Ni"], "fractional_positions": [[0.000, 0.000, 0.000], [0.050, 0.050, 0.617], [0.389, 0.389, 0.285], [0.675, 0.675, 0.352], [0.728, 0.728, 0.934], [0.334, 0.334, 0.669]], "e_tot_ev_per_atom": -14.0515, "magnetic_moment_mub_per_fu": 0.00, "formation_energy_ev_per_atom": -0.093}



Record 5
{"formula": "ZrSc3Ta", "functional": "meta-GGA SCAN", "state": "PBEsol geometry", "cell": [[4.867, 0.000, 0.000], [0.000, 4.867, 0.000], [0.000, 0.000, 4.867]], "species": ["Zr", "Sc", "Sc", "Sc", "Ta"], "fractional_positions": [[0.000, 0.000, 0.000], [0.000, 0.000, 0.500], [0.000, 0.500, 0.000], [0.500, 0.000, 0.000], [0.500, 0.500, 0.500]], "e_tot_ev_per_atom": -26.6653, "magnetic_moment_mub_per_fu": 0.00, "formation_energy_ev_per_atom": 1.333}



Record 6
{"formula": "SmSi2Pt2", "functional": "meta-GGA SCAN", "state": "PBEsol geometry", "cell": [[-2.076, 2.076, 4.960], [2.076, -2.076, 4.960], [2.076, 2.076, -4.960]], "species": ["Sm", "Si", "Si", "Pt", "Pt"], "fractional_positions": [[0.000, 0.000, 0.000], [0.382, 0.382, 0.000], [0.618, 0.618, 0.000], [0.250, 0.750, 0.500], [0.750, 0.250, 0.500]], "e_tot_ev_per_atom": -42.1552, "magnetic_moment_mub_per_fu": 0.00, "formation_energy_uncorrected_mev_per_atom": -1183}



Record 7
{"formula": "AgIrCl2", "functional": "meta-GGA SCAN", "state": "PBEsol geometry", "cell": [[2.940, 0.000, 0.000], [0.000, 4.062, 0.000], [0.000, 0.000, 5.871]], "species": ["Ag", "Ir", "Cl", "Cl"], "fractional_positions": [[0.000, 0.000, 0.000], [0.500, 0.000, 0.500], [0.000, 0.500, 0.500], [0.500, 0.500, 0.000]], "e_tot_ev_per_atom": -29.0419, "relative_energy_ev_per_fu": 0.00, "magnetic_moment_mub_per_fu": 0.68, "formation_energy_uncorrected_mev_per_atom": 564}



Record 8
{"formula": "RbAlGeB2", "functional": "meta-GGA SCAN", "state": "PBEsol geometry", "cell": [[4.326, 0.000, 0.000], [0.000, 4.326, 0.000], [0.000, 0.000, 5.469]], "species": ["Rb", "Al", "Ge", "B", "B"], "fractional_positions": [[0.000, 0.000, 0.000], [0.000, 0.000, 0.500], [0.500, 0.500, 0.000], [0.000, 0.500, 0.500], [0.500, 0.000, 0.500]], "e_tot_ev_per_atom": -10.7779, "magnetic_moment_mub_per_fu": 0.00, "formation_energy_ev_per_atom": 1.710}



Record 9
{"formula": "CeZnGa3", "functional": "meta-GGA SCAN", "state": "PBEsol geometry", "cell": [[-2.097, 2.097, 5.251], [2.097, -2.097, 5.251], [2.097, 2.097, -5.251]], "species": ["Ce", "Zn", "Ga", "Ga", "Ga"], "fractional_positions": [[0.000, 0.000, 0.000], [0.750, 0.250, 0.500], [0.250, 0.750, 0.500], [0.385, 0.385, 0.000], [0.615, 0.615, 0.000]], "e_tot_ev_per_atom": -21.9729, "magnetic_moment_mub_per_fu": 1.06, "formation_energy_ev_per_atom": -0.549}



Record 10
{"formula": "Er2PbSe4", "functional": "meta-GGA SCAN", "state": "PBEsol geometry", "cell": [[12.547, 0.000, 0.000], [0.000, 4.032, 0.000], [0.000, 0.000, 14.577]], "species": ["Er", "Er", "Er", "Er", "Er", "Er", "Er", "Er", "Pb", "Pb", "Pb", "Pb", "Se", "Se", "Se", "Se", "Se", "Se", "Se", "Se", "Se", "Se", "Se", "Se", "Se", "Se", "Se", "Se"], "fractional_positions": [[0.057, 0.250, 0.115], [0.089, 0.250, 0.591], [0.411, 0.750, 0.091], [0.443, 0.750, 0.615], [0.557, 0.250, 0.385], [0.589, 0.250, 0.909], [0.911, 0.750, 0.409], [0.943, 0.750, 0.885], [0.246, 0.750, 0.827], [0.254, 0.250, 0.327], [0.746, 0.750, 0.673], [0.754, 0.250, 0.173], [0.041, 0.750, 0.716], [0.093, 0.250, 0.926], [0.126, 0.750, 0.461], [0.202, 0.750, 0.168], [0.298, 0.250, 0.668], [0.374, 0.250, 0.961], [0.407, 0.750, 0.426], [0.459, 0.250, 0.216], [0.541, 0.750, 0.784], [0.593, 0.250, 0.574], [0.626, 0.750, 0.039], [0.702, 0.750, 0.332], [0.798, 0.250, 0.832], [0.874, 0.250, 0.539], [0.907, 0.750, 0.074], [0.959, 0.250, 0.284]], "e_tot_ev_per_atom": -38.3311, "magnetic_moment_mub_per_fu": 0.00, "formation_energy_uncorrected_mev_per_atom": -1649}



Record 11
{"formula": "ZnTeSN2", "functional": "meta-GGA SCAN", "state": "PBEsol geometry", "cell": [[3.573, 0.000, 0.000], [0.000, 3.573, 0.000], [0.000, 0.000, 6.674]], "species": ["Zn", "Te", "S", "N", "N"], "fractional_positions": [[0.000, 0.000, 0.000], [0.500, 0.500, 0.000], [0.500, 0.500, 0.500], [0.000, 0.500, 0.500], [0.500, 0.000, 0.500]], "e_tot_ev_per_atom": -14.3361, "relative_energy_ev_per_fu": 0.23, "magnetic_moment_mub_per_fu": 0.70, "formation_energy_uncorrected_mev_per_atom": 1459}



Record 12
{"formula": "TcOsPt2I", "functional": "meta-GGA SCAN", "state": "PBEsol geometry", "cell": [[4.766, 0.000, 0.000], [0.000, 4.766, 0.000], [0.000, 0.000, 5.185]], "species": ["Tc", "Os", "Pt", "Pt", "I"], "fractional_positions": [[0.000, 0.000, 0.000], [0.500, 0.500, 0.500], [0.000, 0.500, 0.500], [0.500, 0.000, 0.500], [0.500, 0.500, 0.000]], "e_tot_ev_per_atom": -55.1125, "magnetic_moment_mub_per_fu": 4.65, "formation_energy_uncorrected_mev_per_atom": 1701}



Record 13
{"formula": "LaTl2Zn", "functional": "meta-GGA SCAN", "state": "PBEsol geometry", "cell": [[-1.903, 2.527, 5.290], [1.903, -2.527, 5.290], [1.903, 2.527, -5.290]], "species": ["La", "Tl", "Tl", "Zn"], "fractional_positions": [[0.000, 0.000, 0.000], [0.282, 0.782, 0.500], [0.718, 0.218, 0.500], [0.500, 0.500, 0.000]], "e_tot_ev_per_atom": -50.5590, "magnetic_moment_mub_per_fu": 0.00, "formation_energy_ev_per_atom": -0.225}



Record 14
{"formula": "SrAu5", "functional": "meta-GGA SCAN", "state": "PBEsol geometry", "cell": [[5.575, 0.000, 0.000], [-2.788, 4.828, 0.000], [0.000, 0.000, 4.591]], "species": ["Sr", "Au", "Au", "Au", "Au", "Au"], "fractional_positions": [[0.000, 0.000, 0.000], [0.000, 0.500, 0.500], [0.333, 0.667, 0.000], [0.500, 0.000, 0.500], [0.500, 0.500, 0.500], [0.667, 0.333, 0.000]], "e_tot_ev_per_atom": -61.8790, "magnetic_moment_mub_per_fu": 0.00, "formation_energy_ev_per_atom": -0.536}



Record 15
{"formula": "LiCuAg", "functional": "meta-GGA SCAN", "state": "PBEsol geometry", "cell": [[4.223, 0.000, 0.000], [-2.111, 3.657, 0.000], [0.000, 0.000, 2.656]], "species": ["Li", "Cu", "Ag"], "fractional_positions": [[0.000, 0.000, 0.000], [0.667, 0.333, 0.778], [0.333, 0.667, 0.359]], "e_tot_ev_per_atom": -16.3440, "relative_energy_ev_per_fu": 0.02, "magnetic_moment_mub_per_fu": 0.00, "formation_energy_ev_per_atom": -0.025}



Record 16
{"formula": "BaSn3Pd", "functional": "meta-GGA SCAN", "state": "PBEsol geometry", "cell": [[-2.437, 2.437, 5.555], [2.437, -2.437, 5.555], [2.437, 2.437, -5.555]], "species": ["Ba", "Sn", "Sn", "Sn", "Pd"], "fractional_positions": [[0.000, 0.000, 0.000], [0.250, 0.750, 0.500], [0.587, 0.587, 0.000], [0.750, 0.250, 0.500], [0.350, 0.350, 0.000]], "e_tot_ev_per_atom": -36.7195, "magnetic_moment_mub_per_fu": 0.00, "formation_energy_ev_per_atom": -0.702}



Record 17
{"formula": "TaTc2Pt", "functional": "meta-GGA SCAN", "state": "PBEsol geometry", "cell": [[0.000, 3.124, 3.124], [3.124, 0.000, 3.124], [3.124, 3.124, 0.000]], "species": ["Ta", "Tc", "Tc", "Pt"], "fractional_positions": [[0.000, 0.000, 0.000], [0.500, 0.500, 0.500], [0.750, 0.750, 0.750], [0.250, 0.250, 0.250]], "e_tot_ev_per_atom": -51.7836, "relative_energy_ev_per_fu": 1.41, "magnetic_moment_mub_per_fu": 0.00, "formation_energy_ev_per_atom": -0.060}



Record 18
{"formula": "HgH3Se", "functional": "meta-GGA SCAN", "state": "PBEsol geometry", "cell": [[3.844, 0.000, 0.000], [0.000, 3.844, 0.000], [0.000, 0.000, 3.844]], "species": ["Hg", "H", "H", "H", "Se"], "fractional_positions": [[0.000, 0.000, 0.000], [0.000, 0.000, 0.500], [0.000, 0.500, 0.000], [0.500, 0.000, 0.000], [0.500, 0.500, 0.500]], "e_tot_ev_per_atom": -18.7691, "magnetic_moment_mub_per_fu": 1.53}



Record 19
{"formula": "Zn2FeRh", "functional": "meta-GGA SCAN", "state": "PBEsol geometry", "cell": [[2.926, -2.933, 0.000], [2.926, 2.933, 0.000], [0.000, 0.000, 2.948]], "species": ["Zn", "Zn", "Fe", "Rh"], "fractional_positions": [[0.000, 0.500, 0.000], [0.500, 0.000, 0.000], [0.000, 0.000, 0.500], [0.500, 0.500, 0.500]], "e_tot_ev_per_atom": -19.9000, "magnetic_moment_mub_per_fu": 2.73, "formation_energy_ev_per_atom": -0.167}



Record 20
{"formula": "K2Pb3C3O9F2", "functional": "meta-GGA SCAN", "state": "PBEsol geometry", "cell": [[5.278, 0.000, 0.000], [-2.639, 4.571, 0.000], [0.000, 0.000, 23.119]], "species": ["K", "K", "K", "K", "Pb", "Pb", "Pb", "Pb", "Pb", "Pb", "C", "C", "C", "C", "C", "C", "O", "O", "O", "O", "O", "O", "O", "O", "O", "O", "O", "O", "O", "O", "O", "O", "O", "O", "F", "F", "F", "F"], "fractional_positions": [[0.333, 0.667, 0.152], [0.333, 0.667, 0.348], [0.667, 0.333, 0.652], [0.667, 0.333, 0.848], [0.333, 0.667, 0.546], [0.333, 0.667, 0.750], [0.333, 0.667, 0.954], [0.667, 0.333, 0.046], [0.667, 0.333, 0.250], [0.667, 0.333, 0.454], [0.000, 0.000, 0.064], [0.000, 0.000, 0.250], [0.000, 0.000, 0.436], [0.000, 0.000, 0.564], [0.000, 0.000, 0.750], [0.000, 0.000, 0.936], [0.142, 0.284, 0.064], [0.142, 0.284, 0.250], [0.142, 0.284, 0.436], [0.142, 0.858, 0.064], [0.142, 0.858, 0.250], [0.142, 0.858, 0.436], [0.284, 0.142, 0.564], [0.284, 0.142, 0.750], [0.284, 0.142, 0.936], [0.716, 0.858, 0.064], [0.716, 0.858, 0.250], [0.716, 0.858, 0.436], [0.858, 0.142, 0.564], [0.858, 0.142, 0.750], [0.858, 0.142, 0.936], [0.858, 0.716, 0.564], [0.858, 0.716, 0.750], [0.858, 0.716, 0.936], [0.333, 0.667, 0.646], [0.333, 0.667, 0.854], [0.667, 0.333, 0.146], [0.667, 0.333, 0.354]], "e_tot_ev_per_atom": -19.5572, "magnetic_moment_mub_per_fu": 0.00, "formation_energy_uncorrected_mev_per_atom": -1796}